CeNi2GeO6 | PBE with a Hubbard U | relaxed

a = 5.256 Å, b = 5.257 Å, c = 5.625 Å
α = 62.15°, β = 62.16°, γ = 60.00°
Each line ends with the local moment (μB).
Fractional positions:
O: 0.143 0.386 0.766  0.07
O: 0.386 0.705 0.766  0.07
O: 0.236 0.944 0.233  0.07
O: 0.944 0.586 0.233  0.07
O: 0.586 0.236 0.234  0.07
O: 0.705 0.143 0.766  0.07
Ni: 0.522 0.522 0.433  1.76
Ni: 0.014 0.014 0.959  1.76
Ge: 0.318 0.318 0.045  0.00
Ce: 0.806 0.806 0.581  0.03

Total magnetic moment: 4.0 μB per formula unit
Space-group type: R3, No. 146
DFT total energy: -6.418 eV/atom
V: 11.33 Å³ per atom